## Ho2Tl3Rh (GGA-PBE)

Data for crystalline Ho2Tl3Rh at its relaxed geometry.

Cell: 6.613 6.473 8.574 Å, 112.18 112.68 90.00°
Positions (direct):
Ho (0.929, 0.634, 0.269)
Tl (0.500, 0.750, 0.000)
Tl (0.405, 0.646, 0.293)
Ho (0.660, 0.866, 0.731)
Tl (0.595, 0.354, 0.707)
Tl (0.500, 0.250, 0.000)
Tl (0.112, 0.854, 0.707)
Tl (0.888, 0.146, 0.293)
Ho (0.340, 0.134, 0.269)
Ho (0.071, 0.366, 0.731)
Rh (0.000, 0.750, 0.000)
Rh (0.000, 0.250, 0.000)

Computed properties:
- Density of states at the Fermi level: 2.9 states/eV/f.u.
- Crystal system: orthorhombic
- SG: Ibam (72)
- DFT formation energy: -0.2651 eV/atom